Entry 1:
! K3TiF6 (meta-GGA SCAN, PBEsol geometry); values from VASP
&SYSTEM
  ibrav = 0, nat = 10, ntyp = 3
/
ATOMIC_SPECIES
K 39.10 K.upf
F 19.00 F.upf
Ti 47.87 Ti.upf
CELL_PARAMETERS angstrom
-2.291 -2.682 -5.159
1.442 -5.931 -1.342
-4.356 -4.457 0.466
ATOMIC_POSITIONS angstrom
K -2.602 -6.535 -3.018
K -1.301 -3.268 -1.509
K -3.903 -9.803 -4.527
F -0.354 -6.199 -2.086
F -2.429 -4.393 -4.208
F -2.775 -8.677 -1.827
F -3.577 -5.380 -1.081
F -1.627 -7.690 -4.954
F -4.850 -6.871 -3.949
Ti 0.000 0.000 0.000
! Space group: Fm-3m, No. 225
! Magnetization in μB per atom: 0.100
! E_form (uncorrected) in kJ per mole of atoms: -310.1

Entry 2:
! KTlF4 (meta-GGA SCAN, PBEsol geometry); values from VASP
&SYSTEM
  ibrav = 0, nat = 36, ntyp = 3
/
ATOMIC_SPECIES
F 19.00 F.upf
Tl 204.38 Tl.upf
K 39.10 K.upf
CELL_PARAMETERS angstrom
-6.276 4.562 -2.193
4.529 -3.596 -5.618
-6.057 -8.166 0.345
ATOMIC_POSITIONS angstrom
F -3.762 -6.677 -5.786
F -0.012 -2.538 -1.895
F -4.294 -2.210 -0.910
F -9.290 -2.827 -3.250
F -2.401 -3.356 -3.291
F -2.663 -9.179 -5.640
F -6.855 -1.850 -1.912
F -5.059 -7.790 -3.102
F -5.786 -8.121 -0.495
F -6.267 -6.098 -6.080
F -3.810 2.342 -2.670
F -2.244 -4.645 -1.053
F -5.933 -4.520 -2.375
F -8.397 -5.046 -4.654
F -4.136 -3.849 -5.349
F -0.975 -2.473 -5.525
F -0.024 -8.366 -5.145
F -3.117 -1.931 -7.124
F 1.779 -2.260 -3.945
F 2.311 -3.998 -5.786
F -2.118 0.211 -5.408
F -1.488 -6.261 -4.216
F -2.597 -0.824 -2.880
F -4.869 -1.179 -4.585
Tl -2.910 -1.891 -4.904
Tl -4.273 -9.195 -1.731
Tl -1.600 -7.139 -6.136
Tl -2.185 -10.879 -4.321
Tl -2.123 -2.348 -1.288
Tl -4.513 -5.048 -7.160
K -5.245 0.134 -2.326
K -7.398 -6.728 -2.554
K -6.681 -3.116 -4.482
K -3.711 -5.575 -3.186
K 0.151 -4.254 -4.101
K -5.406 -8.640 -5.475
! Space group: P3_1, No. 144
! Magnetization in μB per atom: 0.009
! E_form (uncorrected) in kJ per mole of atoms: -224.2

Entry 3:
! KTlF2 (meta-GGA SCAN, PBEsol geometry); values from VASP
&SYSTEM
  ibrav = 0, nat = 8, ntyp = 3
/
ATOMIC_SPECIES
F 19.00 F.upf
K 39.10 K.upf
Tl 204.38 Tl.upf
CELL_PARAMETERS angstrom
5.929 0.000 0.000
0.000 5.929 0.000
-2.964 -2.964 5.881
ATOMIC_POSITIONS angstrom
F 4.413 1.482 1.470
F -1.482 -1.449 4.411
F 1.482 1.449 4.411
F 1.515 4.447 1.470
K 2.964 2.964 0.000
K 2.964 0.000 2.940
Tl 0.000 0.000 0.000
Tl 0.000 2.964 2.940
! Space group: I-42d, No. 122
! Magnetization in μB per atom: 0.000
! E_form (uncorrected) in kJ per mole of atoms: -214.9

Entry 4:
! KTlF3 (meta-GGA SCAN, PBEsol geometry); values from VASP
&SYSTEM
  ibrav = 0, nat = 10, ntyp = 3
/
ATOMIC_SPECIES
F 19.00 F.upf
Tl 204.38 Tl.upf
K 39.10 K.upf
CELL_PARAMETERS angstrom
-1.284 6.163 -2.089
-6.247 1.843 -1.253
-3.061 4.295 4.022
ATOMIC_POSITIONS angstrom
F -4.260 5.290 2.047
F -5.737 4.154 -0.398
F -7.155 6.145 1.466
F -3.436 6.156 -0.786
F -4.855 8.147 1.079
F -6.332 7.011 -1.367
Tl -5.296 6.151 0.340
Tl 0.000 0.000 0.000
K -7.943 9.226 0.510
K -2.648 3.075 0.170
! Space group: Fm-3m, No. 225
! Magnetization in μB per atom: 0.000
! E_form (uncorrected) in kJ per mole of atoms: -217.8

Entry 5:
! K2TmF5 (meta-GGA SCAN, PBEsol geometry); values from VASP
&SYSTEM
  ibrav = 0, nat = 32, ntyp = 3
/
ATOMIC_SPECIES
F 19.00 F.upf
K 39.10 K.upf
Tm 168.93 Tm.upf
CELL_PARAMETERS angstrom
-3.961 -4.517 -2.546
5.574 -4.222 -1.182
-1.248 -4.354 9.666
ATOMIC_POSITIONS angstrom
F -0.341 -3.943 1.835
F 2.286 -6.305 1.388
F 0.537 -10.212 7.100
F 0.044 -9.310 1.548
F 2.314 -3.250 -0.285
F 0.707 -9.150 4.103
F 4.699 -5.057 -0.791
F -0.506 -6.732 1.916
F -1.920 -6.787 4.551
F 0.321 -3.783 4.390
F 3.257 -8.168 3.516
F -2.892 -4.925 2.422
F -0.172 -2.880 -1.161
F -0.250 -5.303 7.128
F -4.334 -8.035 6.729
F 0.615 -7.789 -1.190
F 0.871 -6.361 4.022
F -1.948 -9.842 6.223
F -2.273 -5.725 -0.910
F 2.638 -7.368 6.849
K -0.070 -7.828 6.235
K -1.885 -9.377 3.445
K 2.685 -9.915 5.651
K 0.436 -5.264 -0.297
K 5.006 -5.803 1.909
K -2.320 -3.177 0.287
K -4.641 -7.290 4.030
K 2.251 -3.716 2.493
Tm 1.139 -1.356 -0.423
Tm -0.965 -5.221 3.459
Tm -0.774 -11.737 6.361
Tm 1.330 -7.872 2.479
! Space group: Pnma, No. 62
! Magnetization in μB per atom: 0.012
! E_form (uncorrected) in kJ per mole of atoms: -363.4

Entry 6:
! K2UF6 (meta-GGA SCAN, PBEsol geometry); values from VASP
&SYSTEM
  ibrav = 0, nat = 9, ntyp = 3
/
ATOMIC_SPECIES
F 19.00 F.upf
U 238.03 U.upf
K 39.10 K.upf
CELL_PARAMETERS angstrom
-3.089 0.013 1.987
-1.578 -5.862 -2.416
3.528 0.432 5.482
ATOMIC_POSITIONS angstrom
F 0.671 -1.868 1.055
F -1.035 -3.845 -1.585
F -0.739 0.105 2.245
F 2.314 0.283 3.596
F -0.040 -4.184 3.360
F -1.905 -1.332 0.442
U 0.000 0.000 0.000
K -1.421 -3.757 1.210
K 0.281 -1.659 3.843
! Space group: P-62m, No. 189
! Magnetization in μB per atom: 0.222
! E_form (uncorrected) in kJ per mole of atoms: -339.4

Number 1: E_tot -94.397 eV for the cell shown. Number 2: E_tot -652.751 eV for the cell shown. Number 3: E_tot -193.357 eV for the cell shown. Number 4: E_tot -205.183 eV for the cell shown. Number 5: E_tot -465.281 eV for the cell shown. Number 6: E_tot -173.086 eV for the cell shown.